1.
Computed, not measured: Y2NbPd after structural relaxation at the GGA-PBE level of DFT.

Lattice parameters (Å, degrees): 7.8854 7.8854 6.2216 90.00 90.00 90.00
Last column: nearest neighbours and their distance in Å.
Space group I-42d (No. 122)
Asymmetric unit:
Y  0.2167  0.2500  0.1250 [8 per cell]  2 Pd 2.72
Nb  0.0000  0.0000  0.5000 [4 per cell]  4 Y 3.08, 2 Pd 3.11
Pd  0.0000  0.0000  0.0000 [4 per cell]  4 Y 2.72

- magnetic moment (μB/cell) = 0.00
- formation energy from the elements (eV per atom) = 0.2112
- excess energy over the best structure of this formula in the dataset (eV per atom) = 0.2446

2.
Computed, not measured: Ho2ScPd2 after structural relaxation at the GGA-PBE level of DFT.

Lattice parameters (Å, degrees): 4.0561 6.3541 8.8746 90.00 90.00 90.00
Last column: nearest neighbours and their distance in Å.
Space group Immm (No. 71)
Asymmetric unit:
Ho  0.0000  0.0000  0.1989 [4 per cell]  6 Pd 3.03-3.21, 2 Sc 3.35
Sc  0.0000  0.5000  0.0000 [2 per cell]  4 Pd 2.70
Pd  0.0000  0.2801  0.5000 [4 per cell]  2 Sc 2.70, 1 Pd 2.79

- magnetic moment (μB/cell) = 0.00
- formation energy from the elements (eV per atom) = -0.6987
- excess energy over the best structure of this formula in the dataset (eV per atom) = 0.0455

3.
Computed, not measured: Si3SbIr after structural relaxation at the GGA-PBE level of DFT.

Lattice parameters (Å, degrees): 4.6981 4.6981 4.6981 90.00 90.00 90.00
Last column: nearest neighbours and their distance in Å.
Space group Pm-3m (No. 221)
Asymmetric unit:
Si  0.0000  0.0000  0.5000 [3 per cell]  2 Ir 2.35
Sb  0.5000  0.5000  0.5000 [1 per cell]  12 Si 3.32
Ir  0.0000  0.0000  0.0000 [1 per cell]  6 Si 2.35

- magnetic moment (μB/cell) = 0.00
- excess energy over the best structure of this formula in the dataset (eV per atom) = 0.0000
- E_form (uncorrected) (eV per atom) = 0.309

4.
Computed, not measured: RbPu2CuO8 after structural relaxation at the GGA-PBE level of DFT.

Lattice parameters (Å, degrees): 5.3954 5.6201 7.0711 91.74 95.80 96.86
Last column: nearest neighbours and their distance in Å.
Space group P-1 (No. 2)
Asymmetric unit:
Rb  0.0000  0.0000  0.0000 [1 per cell]  4 O 2.56-2.83
Pu  0.4694  0.4689  0.7370 [2 per cell]  4 O 1.84-1.95
Cu  0.0000  0.0000  0.5000 [1 per cell]  2 O 1.86
O  0.1859  0.2196  0.6785 [2 per cell]  1 Cu 1.86, 1 Pu 1.95
O  0.2426  0.3154  0.2395 [2 per cell]  1 Pu 1.84
O  0.3465  0.6542  0.5317 [2 per cell]  1 Pu 1.92
O  0.4006  0.6951  0.0495 [2 per cell]  1 Pu 1.91

- magnetic moment (μB/cell) = 1.92
- E_form (uncorrected) (eV per atom) = -1.908

5.
Computed, not measured: MnVCrTc after structural relaxation at the GGA-PBE level of DFT.

Lattice parameters (Å, degrees): 2.9253 2.9253 5.8736 90.00 90.00 90.00
Last column: nearest neighbours and their distance in Å.
Space group P4mm (No. 99)
Asymmetric unit:
Mn  0.0000  0.0000  0.0000 [1 per cell]  4 V 2.48, 4 Cr 2.52
V  0.5000  0.5000  0.7673 [1 per cell]  4 Mn 2.48, 4 Tc 2.61
Cr  0.5000  0.5000  0.2446 [1 per cell]  4 Mn 2.52, 4 Tc 2.54, 1 V 2.80
Tc  0.0000  0.0000  0.4971 [1 per cell]  4 Cr 2.54, 4 V 2.61

- magnetic moment (μB/cell) = 0.01
- formation energy from the elements (eV per atom) = -0.1003
- excess energy over the best structure of this formula in the dataset (eV per atom) = 0.0000

6.
Computed, not measured: Ag3Pt5 after structural relaxation at the GGA-PBE level of DFT.

Lattice parameters (Å, degrees): 12.3897 2.7965 9.4786 90.00 127.32 90.00
Last column: nearest neighbours and their distance in Å.
Space group C2/m (No. 12)
Asymmetric unit:
Ag  0.0000  0.0000  0.0000 [2 per cell]  6 Ag 2.80-2.86, 6 Pt 2.89
Ag  0.1284  0.5000  0.8748 [4 per cell]  6 Ag 2.80-2.86, 6 Pt 2.88-3.00
Pt  0.0000  0.5000  0.5000 [2 per cell]  10 Pt 2.80-2.86, 2 Ag 2.88
Pt  0.1220  0.0000  0.3744 [4 per cell]  9 Pt 2.77-2.92, 3 Ag 2.88-2.89
Pt  0.2503  0.0000  0.7382 [4 per cell]  7 Pt 2.77-2.86, 5 Ag 2.88-3.00

- magnetic moment (μB/cell) = 0.00
- formation energy from the elements (eV per atom) = 0.0124
- excess energy over the best structure of this formula in the dataset (eV per atom) = 0.0176